The following is a DFT calculation (PBE) of a relaxed P2AuS2 crystal.

Calculated density in kg/m³: 4206
VASP energy in eV for the cell shown: -22.4
Uncorrected formation energy in eV per atom: 0.000

```
data_P2AuS2
_space_group_name_H-M_alt 'P 1'
_space_group_IT_number 1
_cell_length_a 4.330
_cell_length_b 5.093
_cell_length_c 6.475
_cell_angle_alpha 104.79
_cell_angle_beta 99.79
_cell_angle_gamma 106.76
loop_
_space_group_symop_operation_xyz
'x,y,z'
loop_
_atom_site_label
_atom_site_fract_x
_atom_site_fract_y
_atom_site_fract_z
P1 0.000 0.000 0.000
P2 0.306 0.825 0.208
Au1 0.998 0.434 0.299
S1 0.532 0.688 0.928
S2 0.673 0.133 0.470
```